Entry 1:
The following is a GGA-PBE calculation of a geometry-optimized Cd2ReBiBr structure, from Alexandria via LeMat-Bulk.

Cell and atoms, written as POSCAR:
```
Cd2ReBiBr
1.0
5.9122 0.0000 0.0000
0.0000 5.9122 0.0000
0.0000 0.0000 5.7580
Cd Re Bi Br
2 1 1 1
Cartesian
0.0000 2.9561 0.0000 Cd
2.9561 0.0000 0.0000 Cd
0.0000 0.0000 2.8790 Re
2.9561 2.9561 0.0000 Bi
2.9561 2.9561 2.8790 Br
```

Computed properties:
E above lowest polymorph	1.45	eV/f.u.
ρ	5.77	g cm⁻³
uncorrected formation energy	7.1	eV/f.u.
M_tot	0.974	μB/atom
density of states at the Fermi level	2.482	states/eV per cell

---

Entry 2:
The following is a GGA-PBE calculation of a geometry-optimized CdReBiBr2 structure, from Alexandria via LeMat-Bulk.

Cell and atoms, written as POSCAR:
```
CdReBiBr2
1.0
5.2169 0.0000 0.0000
0.0000 5.2169 0.0000
0.0000 0.0000 6.2146
Cd Re Bi Br
1 1 1 2
Cartesian
0.0000 0.0000 0.0000 Cd
2.6084 2.6084 3.1073 Re
0.0000 0.0000 3.1073 Bi
0.0000 2.6084 0.0000 Br
2.6084 0.0000 0.0000 Br
```

Computed properties:
ρ	6.55	g cm⁻³
uncorrected formation energy	5.7	eV/f.u.
M_tot	0.830	μB/atom
density of states at the Fermi level	2.442	states/eV per cell

---

Entry 3:
The following is a GGA-PBE calculation of a geometry-optimized Cd2ReBiBr structure, from Alexandria via LeMat-Bulk.

Cell and atoms, written as POSCAR:
```
Cd2ReBiBr
1.0
5.8669 0.0000 0.0000
0.0000 5.8669 0.0000
0.0000 0.0000 5.3606
Cd Re Bi Br
2 1 1 1
Cartesian
0.0000 2.9335 0.0000 Cd
2.9335 0.0000 0.0000 Cd
0.0000 0.0000 2.6803 Re
0.0000 0.0000 0.0000 Bi
2.9335 2.9335 2.6803 Br
```

Computed properties:
E above lowest polymorph	0.00	eV/f.u.
ρ	6.30	g cm⁻³
uncorrected formation energy	5.7	eV/f.u.
M_tot	0.739	μB/atom
density of states at the Fermi level	2.751	states/eV per cell

---

Entry 4:
The following is a GGA-PBE calculation of a geometry-optimized CdBiSeBr2 structure, from Alexandria via LeMat-Bulk.

Cell and atoms, written as POSCAR:
```
CdBiSeBr2
1.0
5.6916 0.0000 0.0000
0.0000 5.6916 0.0000
0.0000 0.0000 5.7028
Cd Bi Se Br
1 1 1 2
Cartesian
0.0000 0.0000 0.0000 Cd
2.8458 2.8458 2.8514 Bi
2.8458 2.8458 0.0000 Se
0.0000 2.8458 2.8514 Br
2.8458 0.0000 2.8514 Br
```

Computed properties:
E above lowest polymorph	0.00	eV/f.u.
ρ	5.04	g cm⁻³
uncorrected formation energy	-0.6	eV/f.u.
M_tot	0.000	μB/atom
density of states at the Fermi level	4.532	states/eV per cell

---

Entry 5:
The following is a GGA-PBE calculation of a geometry-optimized SrCdBiBr structure, from Alexandria via LeMat-Bulk.

Cell and atoms, written as POSCAR:
```
SrCdBiBr
1.0
4.9217 0.0000 0.0000
0.0000 4.9217 0.0000
0.0000 0.0000 10.2941
Sr Cd Bi Br
2 2 2 2
Cartesian
1.2304 1.2304 1.9379 Sr
3.6913 3.6913 8.3561 Sr
1.2304 3.6913 5.1470 Cd
3.6913 1.2304 5.1470 Cd
1.2304 1.2304 7.0432 Bi
3.6913 3.6913 3.2509 Bi
1.2304 3.6913 0.0000 Br
3.6913 1.2304 0.0000 Br
```

Computed properties:
ρ	6.51	g cm⁻³
uncorrected formation energy	-3.9	eV/f.u.
M_tot	0.000	μB/atom
density of states at the Fermi level	1.661	states/eV per cell

---

Entry 6:
The following is a GGA-PBE calculation of a geometry-optimized Ti2CdBiBr structure, from Alexandria via LeMat-Bulk.

Cell and atoms, written as POSCAR:
```
Ti2CdBiBr
1.0
4.8068 0.0000 0.0000
0.0000 4.8068 0.0000
0.0000 0.0000 5.6287
Ti Cd Bi Br
2 1 1 1
Cartesian
0.0000 2.4034 0.0000 Ti
2.4034 0.0000 0.0000 Ti
0.0000 0.0000 2.8143 Cd
2.4034 2.4034 2.8143 Bi
0.0000 0.0000 0.0000 Br
```

Computed properties:
ρ	6.35	g cm⁻³
uncorrected formation energy	2.9	eV/f.u.
M_tot	0.672	μB/atom
density of states at the Fermi level	7.113	states/eV per cell

---

Entry 7:
The following is a GGA-PBE calculation of a geometry-optimized TlCdBiBr6 structure, from Alexandria via LeMat-Bulk.

Cell and atoms, written as POSCAR:
```
TlCdBiBr6
1.0
7.3728 0.0000 0.0000
-3.6864 6.3851 0.0000
0.0000 0.0000 14.5932
Tl Cd Bi Br
2 2 2 12
Cartesian
0.0000 0.0000 0.0000 Tl
0.0000 0.0000 7.2966 Tl
0.0000 4.2567 3.6483 Cd
3.6864 2.1284 10.9449 Cd
0.0000 4.2567 10.9449 Bi
3.6864 2.1284 3.6483 Bi
-1.3137 2.3731 2.0041 Br
-2.2881 4.0608 5.2926 Br
1.3137 2.3731 5.2926 Br
-0.9744 6.3362 2.0041 Br
2.7121 0.0489 9.3007 Br
1.3984 2.3243 12.5892 Br
2.2881 4.0608 2.0041 Br
0.9744 6.3362 5.2926 Br
4.6608 0.0489 12.5892 Br
2.3727 4.0119 9.3007 Br
5.9745 2.3243 9.3007 Br
5.0001 4.0119 12.5892 Br
```

Computed properties:
ρ	4.86	g cm⁻³
uncorrected formation energy	-7.3	eV/f.u.
M_tot	0.000	μB/atom
density of states at the Fermi level	0.000	states/eV per cell

---

Entry 8:
The following is a GGA-PBE calculation of a geometry-optimized ZnCd2BiBr structure, from Alexandria via LeMat-Bulk.

Cell and atoms, written as POSCAR:
```
ZnCd2BiBr
1.0
6.0595 0.0000 0.0000
0.0000 6.0595 0.0000
0.0000 0.0000 5.8561
Zn Cd Bi Br
1 2 1 1
Cartesian
0.0000 0.0000 0.0000 Zn
0.0000 3.0297 2.9281 Cd
3.0297 0.0000 2.9281 Cd
3.0297 3.0297 2.9281 Bi
3.0297 3.0297 0.0000 Br
```

Computed properties:
ρ	4.47	g cm⁻³
uncorrected formation energy	1.0	eV/f.u.
M_tot	0.000	μB/atom
density of states at the Fermi level	1.615	states/eV per cell

---

Entry 9:
The following is a GGA-PBE calculation of a geometry-optimized CeBiBr2 structure, from Alexandria via LeMat-Bulk.

Cell and atoms, written as POSCAR:
```
CeBiBr2
1.0
1.8484 1.0672 11.3834
-1.8484 1.0672 11.3834
0.0000 -2.1344 11.3834
Ce Bi Br
1 1 2
Cartesian
0.0000 0.0000 0.0000 Ce
0.0000 0.0000 17.0751 Bi
0.0000 0.0000 13.4483 Br
0.0000 0.0000 20.7018 Br
```

Computed properties:
ρ	6.27	g cm⁻³
uncorrected formation energy	-3.7	eV/f.u.
M_tot	0.366	μB/atom
density of states at the Fermi level	6.173	states/eV per cell

---

Entry 10:
The following is a GGA-PBE calculation of a geometry-optimized Ce3Bi2Br structure, from Alexandria via LeMat-Bulk.

Cell and atoms, written as POSCAR:
```
Ce3Bi2Br
1.0
3.9466 -6.8261 0.0000
3.9466 6.8261 0.0000
-2.6317 0.0000 7.1982
Ce Bi Br
6 4 2
Cartesian
-0.0244 2.3148 5.4428 Ce
1.2597 0.0000 1.7121 Ce
-0.0244 -2.3148 5.4428 Ce
5.2858 2.3148 1.7553 Ce
4.0017 0.0000 5.4860 Ce
5.2858 -2.3148 1.7553 Ce
-1.3159 0.0000 3.5991 Bi
2.6307 2.2256 3.5991 Bi
3.9466 0.0000 0.0000 Bi
2.6307 -2.2256 3.5991 Bi
3.9466 4.5365 0.0000 Br
3.9466 -4.5365 0.0000 Br
```

Computed properties:
ρ	7.86	g cm⁻³
uncorrected formation energy	-5.4	eV/f.u.
M_tot	0.592	μB/atom
density of states at the Fermi level	41.987	states/eV per cell

---

Entry 11:
The following is a GGA-PBE calculation of a geometry-optimized Ce2BiBr structure, from Alexandria via LeMat-Bulk.

Cell and atoms, written as POSCAR:
```
Ce2BiBr
1.0
7.8797 0.0000 0.0000
0.0000 4.3898 0.0000
0.0000 0.0000 14.7014
Ce Bi Br
8 4 4
Cartesian
1.1987 1.0974 3.4378 Ce
1.6413 3.2923 0.0483 Ce
2.2985 1.0974 7.3990 Ce
2.7411 3.2923 10.7885 Ce
5.1385 1.0974 3.9129 Ce
5.5811 3.2923 7.3024 Ce
6.2384 1.0974 14.6531 Ce
6.6810 3.2923 11.2636 Ce
0.8671 1.0974 12.4824 Bi
3.0727 3.2923 5.1317 Bi
4.8069 1.0974 9.5697 Bi
7.0126 3.2923 2.2190 Bi
0.5560 3.2923 8.7577 Br
3.3838 1.0974 1.4070 Br
4.4958 3.2923 13.2944 Br
7.3237 1.0974 5.9437 Br
```

Computed properties:
E above lowest polymorph	0.00	eV/f.u.
ρ	7.43	g cm⁻³
uncorrected formation energy	-3.9	eV/f.u.
M_tot	0.608	μB/atom
density of states at the Fermi level	62.144	states/eV per cell

---

Entry 12:
The following is a GGA-PBE calculation of a geometry-optimized CeBiBr structure, from Alexandria via LeMat-Bulk.

Cell and atoms, written as POSCAR:
```
CeBiBr
1.0
-2.2862 2.2862 8.5921
2.2862 -2.2862 8.5921
2.2862 2.2862 -8.5921
Ce Bi Br
2 2 2
Cartesian
0.0000 0.0000 2.1078 Ce
0.0000 0.0000 15.0763 Ce
0.0000 0.0000 5.4162 Bi
0.0000 0.0000 11.7680 Bi
2.2862 0.0000 0.0000 Br
0.0000 2.2862 0.0000 Br
```

Computed properties:
E above lowest polymorph	0.46	eV/f.u.
ρ	7.93	g cm⁻³
uncorrected formation energy	-2.8	eV/f.u.
M_tot	0.175	μB/atom
density of states at the Fermi level	11.740	states/eV per cell

---

> Look up the uncorrected formation energy of the fourth one.

-0.6 eV/f.u.

---

> Which formula does entry 8 have?

ZnCd2BiBr